[1]
A geometry-optimized Er2InSnPt4 structure. Source: OQMD, functional GGA-PBE.

Cell: 4.5593 4.5593 8.9836 Å, 90.00 90.00 120.00°
Space group P-3m1 (No. 164)
Asymmetric unit:
Er 0.3333 0.6667 0.2490 (multiplicity 2)
In 0.0000 0.0000 0.0000 (multiplicity 1)
Sn 0.0000 0.0000 0.5000 (multiplicity 1)
Pt 0.3333 0.6667 0.5910 (multiplicity 2)
Pt 0.3333 0.6667 0.9090 (multiplicity 2)

DFT total energy	-6.004	eV per atom



[2]
A geometry-optimized PaTcNi structure. Source: OQMD, functional GGA-PBE.

Cell: 6.1184 6.1184 6.1184 Å, 90.00 90.00 90.00°
Space group F-43m (No. 216)
Asymmetric unit:
Pa 0.0000 0.0000 0.0000 (multiplicity 4)
Tc 0.2500 0.2500 0.2500 (multiplicity 4)
Ni 0.2500 0.2500 0.7500 (multiplicity 4)

excess energy over the best structure of this formula in the dataset	4.574	kcal/mol of atoms
DFT total energy	-8.191	eV per atom



[3]
A geometry-optimized LuNiIrPb structure. Source: OQMD, functional GGA-PBE.

Cell: 6.6939 6.6939 6.6939 Å, 90.00 90.00 90.00°
Space group F-43m (No. 216)
Asymmetric unit:
Lu 0.0000 0.0000 0.0000 (multiplicity 4)
Ni 0.0000 0.0000 0.5000 (multiplicity 4)
Ir 0.2500 0.2500 0.7500 (multiplicity 4)
Pb 0.2500 0.2500 0.2500 (multiplicity 4)

DFT total energy	-5.653	eV per atom



[4]
A geometry-optimized NaUW structure. Source: OQMD, functional GGA-PBE.

Cell: 6.5000 6.5000 6.5000 Å, 90.00 90.00 90.00°
Space group F-43m (No. 216)
Asymmetric unit:
Na 0.0000 0.0000 0.0000 (multiplicity 4)
U 0.2500 0.2500 0.2500 (multiplicity 4)
W 0.0000 0.0000 0.5000 (multiplicity 4)

excess energy over the best structure of this formula in the dataset	8.176	kcal/mol of atoms
DFT total energy	-6.541	eV per atom



[5]
A geometry-optimized Nb3Bi2S6 structure. Source: OQMD, functional GGA-PBE.

Cell: 5.7765 5.7765 17.4832 Å, 90.00 90.00 120.00°
Space group P6_3/mcm (No. 193)
Asymmetric unit:
Nb 0.0000 0.3263 0.2500 (multiplicity 6)
Bi 0.3333 0.6667 0.0000 (multiplicity 4)
S 0.0000 0.0000 0.1580 (multiplicity 4)
S 0.3333 0.6667 0.1615 (multiplicity 8)

DFT total energy	-6.645	eV per atom



[6]
A geometry-optimized PaTaSb structure. Source: OQMD, functional GGA-PBE.

Cell: 6.7295 6.7295 6.7295 Å, 90.00 90.00 90.00°
Space group F-43m (No. 216)
Asymmetric unit:
Pa 0.0000 0.0000 0.0000 (multiplicity 4)
Ta 0.2500 0.2500 0.7500 (multiplicity 4)
Sb 0.0000 0.0000 0.5000 (multiplicity 4)

excess energy over the best structure of this formula in the dataset	0.000	kcal/mol of atoms
DFT total energy	-8.142	eV per atom



[7]
A geometry-optimized LaGdAg2Sb4 structure. Source: OQMD, functional GGA-PBE.

Cell: 4.3980 4.3980 10.6451 Å, 90.00 90.00 90.00°
Space group P4mm (No. 99)
Asymmetric unit:
La 0.0000 0.0000 0.0000 (multiplicity 1)
Gd 0.5000 0.5000 0.4757 (multiplicity 1)
Ag 0.0000 0.5000 0.7313 (multiplicity 2)
Sb 0.0000 0.0000 0.5534 (multiplicity 1)
Sb 0.0000 0.5000 0.2437 (multiplicity 2)
Sb 0.5000 0.5000 0.9104 (multiplicity 1)

DFT total energy	-4.662	eV per atom



[8]
A geometry-optimized NdZr2O4 structure. Source: OQMD, functional GGA-PBE.

Cell: 9.4029 9.4029 9.4029 Å, 90.00 90.00 90.00°
Space group Fd-3m (No. 227, origin choice 2)
Asymmetric unit:
Nd 0.1250 0.1250 0.1250 (multiplicity 8)
Zr 0.0000 0.0000 0.5000 (multiplicity 16)
O 0.0128 0.0128 0.7372 (multiplicity 32)

DFT total energy	-8.707	eV per atom